1.
This record from the Alexandria database describes a relaxed BaYP2O crystal. The functional is PBE.

Values from the calculation:
Fermi-level density of states ... 3.22 states/eV/f.u.
Relative energy among the computed polymorphs ... 0.000 eV/atom
Total DFT energy (no corrections) ... -5.83 eV/atom
Raw formation energy ... -0.996 eV per atom
Space group ... No. 123
ρ ... 3.79 Mg/m³

CIF file:
```
data_BaYP2O
_chemical_formula_sum 'Ba1 Y1 P2 O1'
_symmetry_space_group_name_H-M 'P 1'
_symmetry_Int_Tables_number 1
_symmetry_space_group_name_Hall 'P 1'
_cell_length_a 5.522
_cell_length_b 5.522
_cell_length_c 4.369
_cell_angle_alpha 90.00
_cell_angle_beta 90.00
_cell_angle_gamma 90.00
loop_
_atom_site_label
_atom_site_type_symbol
_atom_site_fract_x
_atom_site_fract_y
_atom_site_fract_z
_atom_site_occupancy
O1 O 0.000 0.000 0.500 1
P1 P 0.500 0.000 0.000 1
P2 P 0.000 0.500 0.000 1
Ba1 Ba 0.500 0.500 0.500 1
Y1 Y 0.000 0.000 0.000 1
```

2.
This record from the Alexandria database describes a relaxed BaYP2O crystal. The functional is PBE.

Values from the calculation:
Fermi-level density of states ... 2.95 states/eV/f.u.
Relative energy among the computed polymorphs ... 1.114 eV/atom
Total DFT energy (no corrections) ... -4.72 eV/atom
Raw formation energy ... 0.118 eV per atom
Space group ... No. 123
ρ ... 3.86 Mg/m³

CIF file:
```
data_BaYP2O
_chemical_formula_sum 'Ba1 Y1 P2 O1'
_symmetry_space_group_name_H-M 'P 1'
_symmetry_Int_Tables_number 1
_symmetry_space_group_name_Hall 'P 1'
_cell_length_a 5.476
_cell_length_b 5.476
_cell_length_c 4.362
_cell_angle_alpha 90.00
_cell_angle_beta 90.00
_cell_angle_gamma 90.00
loop_
_atom_site_label
_atom_site_type_symbol
_atom_site_fract_x
_atom_site_fract_y
_atom_site_fract_z
_atom_site_occupancy
Ba1 Ba 0.000 0.000 0.000 1
P1 P 0.500 0.000 0.000 1
P2 P 0.000 0.500 0.000 1
Y1 Y 0.500 0.500 0.500 1
O1 O 0.000 0.000 0.500 1
```

3.
This record from the Alexandria database describes a relaxed BaYPO2 crystal. The functional is PBE.

Values from the calculation:
Fermi-level density of states ... 4.97 states/eV/f.u.
Relative energy among the computed polymorphs ... 0.000 eV/atom
Total DFT energy (no corrections) ... -6.43 eV/atom
Raw formation energy ... -1.688 eV per atom
Space group ... No. 123
ρ ... 4.31 Mg/m³

CIF file:
```
data_BaYPO2
_chemical_formula_sum 'Ba1 Y1 P1 O2'
_symmetry_space_group_name_H-M 'P 1'
_symmetry_Int_Tables_number 1
_symmetry_space_group_name_Hall 'P 1'
_cell_length_a 4.524
_cell_length_b 4.524
_cell_length_c 5.443
_cell_angle_alpha 90.00
_cell_angle_beta 90.00
_cell_angle_gamma 90.00
loop_
_atom_site_label
_atom_site_type_symbol
_atom_site_fract_x
_atom_site_fract_y
_atom_site_fract_z
_atom_site_occupancy
P1 P 0.000 0.000 0.500 1
O1 O 0.500 0.000 0.000 1
O2 O 0.000 0.500 0.000 1
Ba1 Ba 0.500 0.500 0.500 1
Y1 Y 0.000 0.000 0.000 1
```

4.
This record from the Alexandria database describes a relaxed Ba2ZnP6O28 crystal. The functional is PBE.

Values from the calculation:
Total DFT energy (no corrections) ... -6.40 eV/atom
Raw formation energy ... -1.636 eV per atom
Space group ... No. 15
ρ ... 2.39 Mg/m³

CIF file:
```
data_Ba2ZnP6O28
_chemical_formula_sum 'Ba4 Zn2 P12 O56'
_symmetry_space_group_name_H-M 'P 1'
_symmetry_Int_Tables_number 1
_symmetry_space_group_name_Hall 'P 1'
_cell_length_a 13.726
_cell_length_b 13.726
_cell_length_c 13.804
_cell_angle_alpha 79.79
_cell_angle_beta 79.79
_cell_angle_gamma 31.99
loop_
_atom_site_label
_atom_site_type_symbol
_atom_site_fract_x
_atom_site_fract_y
_atom_site_fract_z
_atom_site_occupancy
O1 O 0.409 0.877 0.396 1
O2 O 0.549 0.309 0.168 1
O3 O 0.123 0.591 0.104 1
O4 O 0.620 0.313 0.582 1
O5 O 0.309 0.549 0.668 1
O6 O 0.326 0.606 0.173 1
O7 O 0.687 0.380 0.918 1
O8 O 0.876 0.882 0.991 1
O9 O 0.792 0.958 0.315 1
O10 O 0.958 0.792 0.815 1
O11 O 0.813 0.767 0.104 1
O12 O 0.882 0.876 0.491 1
O13 O 0.451 0.691 0.832 1
O14 O 0.413 0.956 0.546 1
O15 O 0.010 0.898 0.357 1
O16 O 0.059 0.483 0.498 1
O17 O 0.990 0.102 0.643 1
O18 O 0.867 0.507 0.222 1
O19 O 0.877 0.409 0.896 1
O20 O 0.394 0.674 0.327 1
O21 O 0.591 0.123 0.604 1
O22 O 0.507 0.867 0.722 1
O23 O 0.674 0.394 0.827 1
O24 O 0.102 0.990 0.143 1
O25 O 0.881 0.374 0.638 1
O26 O 0.208 0.042 0.685 1
O27 O 0.517 0.941 0.002 1
O28 O 0.336 0.525 0.580 1
O29 O 0.587 0.044 0.454 1
O30 O 0.133 0.493 0.778 1
O31 O 0.042 0.208 0.185 1
O32 O 0.380 0.687 0.418 1
O33 O 0.691 0.451 0.332 1
O34 O 0.525 0.336 0.080 1
O35 O 0.493 0.133 0.278 1
O36 O 0.898 0.010 0.857 1
O37 O 0.187 0.233 0.896 1
O38 O 0.119 0.626 0.362 1
O39 O 0.483 0.059 0.998 1
O40 O 0.664 0.475 0.420 1
O41 O 0.205 0.239 0.161 1
O42 O 0.239 0.205 0.661 1
O43 O 0.941 0.517 0.502 1
O44 O 0.475 0.664 0.920 1
O45 O 0.761 0.795 0.339 1
O46 O 0.044 0.587 0.954 1
O47 O 0.767 0.813 0.604 1
O48 O 0.118 0.124 0.509 1
O49 O 0.795 0.761 0.839 1
O50 O 0.313 0.620 0.082 1
O51 O 0.626 0.119 0.862 1
O52 O 0.956 0.413 0.046 1
O53 O 0.374 0.881 0.138 1
O54 O 0.124 0.118 0.009 1
O55 O 0.233 0.187 0.396 1
O56 O 0.606 0.326 0.673 1
Ba1 Ba 0.454 0.125 0.777 1
Ba2 Ba 0.546 0.875 0.223 1
Ba3 Ba 0.125 0.454 0.277 1
Ba4 Ba 0.875 0.546 0.723 1
P1 P 0.033 0.177 0.620 1
P2 P 0.020 0.347 0.158 1
P3 P 0.967 0.823 0.380 1
P4 P 0.980 0.653 0.842 1
P5 P 0.823 0.967 0.880 1
P6 P 0.703 0.963 0.547 1
P7 P 0.177 0.033 0.120 1
P8 P 0.037 0.297 0.953 1
P9 P 0.963 0.703 0.047 1
P10 P 0.653 0.980 0.342 1
P11 P 0.347 0.020 0.658 1
P12 P 0.297 0.037 0.453 1
Zn1 Zn 0.857 0.143 0.750 1
Zn2 Zn 0.143 0.857 0.250 1
```

5.
This record from the Alexandria database describes a relaxed BaZnPO4 crystal. The functional is PBE.

Values from the calculation:
Fermi-level density of states ... 2.87 states/eV/f.u.
Total DFT energy (no corrections) ... -5.95 eV/atom
Raw formation energy ... -1.890 eV per atom
Space group ... No. 216
ρ ... 3.57 Mg/m³

CIF file:
```
data_BaZnPO4
_chemical_formula_sum 'Ba1 Zn1 P1 O4'
_symmetry_space_group_name_H-M 'P 1'
_symmetry_Int_Tables_number 1
_symmetry_space_group_name_Hall 'P 1'
_cell_length_a 5.808
_cell_length_b 5.808
_cell_length_c 5.808
_cell_angle_alpha 60.00
_cell_angle_beta 60.00
_cell_angle_gamma 60.00
loop_
_atom_site_label
_atom_site_type_symbol
_atom_site_fract_x
_atom_site_fract_y
_atom_site_fract_z
_atom_site_occupancy
Ba1 Ba 0.750 0.750 0.750 1
P1 P 0.250 0.250 0.250 1
Zn1 Zn 0.500 0.500 0.500 1
O1 O 0.360 0.360 0.360 1
O2 O 0.921 0.360 0.360 1
O3 O 0.360 0.921 0.360 1
O4 O 0.360 0.360 0.921 1
```

6.
This record from the Alexandria database describes a relaxed Ba2Zn3P10O30 crystal. The functional is PBE.

Values from the calculation:
Fermi-level density of states ... 0.00 states/eV/f.u.
Total DFT energy (no corrections) ... -6.90 eV/atom
Raw formation energy ... -2.220 eV per atom
Space group ... No. 13
ρ ... 3.25 Mg/m³

CIF file:
```
data_Ba2Zn3P10O30
_chemical_formula_sum 'Ba4 Zn6 P20 O60'
_symmetry_space_group_name_H-M 'P 1'
_symmetry_Int_Tables_number 1
_symmetry_space_group_name_Hall 'P 1'
_cell_length_a 5.442
_cell_length_b 10.905
_cell_length_c 22.033
_cell_angle_alpha 99.57
_cell_angle_beta 90.00
_cell_angle_gamma 90.00
loop_
_atom_site_label
_atom_site_type_symbol
_atom_site_fract_x
_atom_site_fract_y
_atom_site_fract_z
_atom_site_occupancy
O1 O 0.239 0.135 0.984 1
O2 O 0.318 0.610 0.756 1
O3 O 0.029 0.960 0.263 1
O4 O 0.233 0.836 0.005 1
O5 O 0.971 0.460 0.763 1
O6 O 0.990 0.867 0.914 1
O7 O 0.562 0.965 0.908 1
O8 O 0.923 0.669 0.958 1
O9 O 0.438 0.465 0.408 1
O10 O 0.606 0.581 0.191 1
O11 O 0.990 0.633 0.586 1
O12 O 0.882 0.097 0.358 1
O13 O 0.077 0.169 0.458 1
O14 O 0.923 0.831 0.542 1
O15 O 0.947 0.064 0.580 1
O16 O 0.659 0.057 0.455 1
O17 O 0.029 0.540 0.237 1
O18 O 0.233 0.664 0.495 1
O19 O 0.761 0.865 0.016 1
O20 O 0.194 0.308 0.682 1
O21 O 0.761 0.635 0.484 1
O22 O 0.806 0.808 0.182 1
O23 O 0.239 0.365 0.516 1
O24 O 0.252 0.188 0.183 1
O25 O 0.682 0.110 0.256 1
O26 O 0.748 0.812 0.817 1
O27 O 0.767 0.336 0.505 1
O28 O 0.056 0.975 0.149 1
O29 O 0.341 0.557 0.955 1
O30 O 0.053 0.564 0.080 1
O31 O 0.252 0.312 0.317 1
O32 O 0.194 0.192 0.818 1
O33 O 0.318 0.890 0.744 1
O34 O 0.283 0.806 0.191 1
O35 O 0.053 0.936 0.420 1
O36 O 0.394 0.419 0.809 1
O37 O 0.283 0.694 0.309 1
O38 O 0.682 0.390 0.244 1
O39 O 0.010 0.367 0.414 1
O40 O 0.944 0.475 0.649 1
O41 O 0.118 0.597 0.858 1
O42 O 0.118 0.903 0.642 1
O43 O 0.806 0.692 0.318 1
O44 O 0.944 0.025 0.851 1
O45 O 0.606 0.919 0.309 1
O46 O 0.748 0.688 0.683 1
O47 O 0.394 0.081 0.691 1
O48 O 0.717 0.306 0.691 1
O49 O 0.659 0.443 0.045 1
O50 O 0.562 0.535 0.592 1
O51 O 0.341 0.943 0.545 1
O52 O 0.882 0.403 0.142 1
O53 O 0.767 0.164 0.995 1
O54 O 0.077 0.331 0.042 1
O55 O 0.056 0.525 0.351 1
O56 O 0.010 0.133 0.086 1
O57 O 0.717 0.194 0.809 1
O58 O 0.947 0.436 0.920 1
O59 O 0.438 0.035 0.092 1
O60 O 0.971 0.040 0.737 1
P1 P 0.092 0.554 0.925 1
P2 P 0.217 0.414 0.371 1
P3 P 0.776 0.480 0.205 1
P4 P 0.224 0.980 0.705 1
P5 P 0.776 0.020 0.295 1
P6 P 0.217 0.086 0.129 1
P7 P 0.092 0.946 0.575 1
P8 P 0.224 0.520 0.795 1
P9 P 0.019 0.316 0.477 1
P10 P 0.981 0.816 0.977 1
P11 P 0.956 0.122 0.804 1
P12 P 0.044 0.878 0.196 1
P13 P 0.783 0.914 0.871 1
P14 P 0.908 0.446 0.075 1
P15 P 0.956 0.378 0.696 1
P16 P 0.981 0.684 0.523 1
P17 P 0.783 0.586 0.629 1
P18 P 0.019 0.184 0.023 1
P19 P 0.908 0.054 0.425 1
P20 P 0.044 0.622 0.304 1
Zn1 Zn 0.449 0.250 0.750 1
Zn2 Zn 0.500 0.500 0.500 1
Zn3 Zn 0.473 0.250 0.250 1
Zn4 Zn 0.527 0.750 0.750 1
Zn5 Zn 0.500 0.000 0.000 1
Zn6 Zn 0.551 0.750 0.250 1
Ba1 Ba 0.493 0.686 0.076 1
Ba2 Ba 0.493 0.814 0.424 1
Ba3 Ba 0.507 0.314 0.924 1
Ba4 Ba 0.507 0.186 0.576 1
```

7.
This record from the Alexandria database describes a relaxed Ba2ZnPO crystal. The functional is PBE.

Values from the calculation:
Fermi-level density of states ... 1.51 states/eV/f.u.
Relative energy among the computed polymorphs ... 0.406 eV/atom
Total DFT energy (no corrections) ... -4.01 eV/atom
Raw formation energy ... -0.912 eV per atom
Space group ... No. 123
ρ ... 5.05 Mg/m³

CIF file:
```
data_Ba2ZnPO
_chemical_formula_sum 'Ba2 Zn1 P1 O1'
_symmetry_space_group_name_H-M 'P 1'
_symmetry_Int_Tables_number 1
_symmetry_space_group_name_Hall 'P 1'
_cell_length_a 5.526
_cell_length_b 4.171
_cell_length_c 5.526
_cell_angle_alpha 90.00
_cell_angle_beta 90.00
_cell_angle_gamma 90.00
loop_
_atom_site_label
_atom_site_type_symbol
_atom_site_fract_x
_atom_site_fract_y
_atom_site_fract_z
_atom_site_occupancy
P1 P 0.000 0.500 0.000 1
Ba1 Ba 0.500 0.000 0.000 1
Ba2 Ba 0.000 0.000 0.500 1
O1 O 0.000 0.000 0.000 1
Zn1 Zn 0.500 0.500 0.500 1
```

8.
This record from the Alexandria database describes a relaxed BaZnPO2 crystal. The functional is PBE.

Values from the calculation:
Fermi-level density of states ... 3.39 states/eV/f.u.
Relative energy among the computed polymorphs ... 0.000 eV/atom
Total DFT energy (no corrections) ... -4.35 eV/atom
Raw formation energy ... -0.642 eV per atom
Space group ... No. 123
ρ ... 5.15 Mg/m³

CIF file:
```
data_BaZnPO2
_chemical_formula_sum 'Ba1 Zn1 P1 O2'
_symmetry_space_group_name_H-M 'P 1'
_symmetry_Int_Tables_number 1
_symmetry_space_group_name_Hall 'P 1'
_cell_length_a 4.386
_cell_length_b 4.386
_cell_length_c 4.451
_cell_angle_alpha 90.00
_cell_angle_beta 90.00
_cell_angle_gamma 90.00
loop_
_atom_site_label
_atom_site_type_symbol
_atom_site_fract_x
_atom_site_fract_y
_atom_site_fract_z
_atom_site_occupancy
Ba1 Ba 0.500 0.500 0.500 1
Zn1 Zn 0.000 0.000 0.000 1
O1 O 0.000 0.500 0.000 1
O2 O 0.500 0.000 0.000 1
P1 P 0.000 0.000 0.500 1
```

- Look up the ρ of the eighth one.
  5.15 Mg/m³

- Among the records above, which one has the highest total DFT energy (no corrections)?
  Ba2ZnPO

- Among the records above, which one has the lowest total DFT energy (no corrections)?
  Ba2Zn3P10O30